A plane-wave DFT calculation with PBE with a Hubbard U was carried out for crystalline GaNiPO2 at its relaxed geometry.

Computed properties:
Final energy   -20.6 eV/f.u.
Distance to the lowest polymorph of the same formula   65 meV/atom
Mass density   4.99 g/cm³

Lattice parameters (Å, degrees): 3.673 3.673 4.718 90.00 90.00 90.00
Element x y z (fractional)
1 Ga 0.000 0.000 0.000
2 Ni 0.500 0.500 0.500
3 P 0.500 0.500 0.000
4 O 0.000 0.500 0.500
5 O 0.500 0.000 0.500